[1]
PmP2PdRu | PBE | optimized geometry

It has space group I-4m2 (No. 119), with a = 4.038 Å, b = 4.038 Å, c = 10.100 Å, α = 90.00°, β = 90.00° and γ = 90.00°. The inequivalent atoms are Pm at (0.000, 0.000, 0.000), P at (0.000, 0.000, 0.386), Pd at (0.000, 0.500, 0.250) and Ru at (0.000, 0.500, 0.750).

The value obtained for the formation enthalpy at 0 K is -0.884 eV per atom.

---

[2]
CsMgCu3 | PBE | optimized geometry

It has space group Pm-3m (No. 221), with a = 5.401 Å, b = 5.401 Å, c = 5.401 Å, α = 90.00°, β = 90.00° and γ = 90.00°. The inequivalent atoms are Cs at (0.000, 0.000, 0.000), Mg at (0.500, 0.500, 0.500) and Cu at (0.000, 0.000, 0.500).

The value obtained for the formation enthalpy at 0 K is 1.632 eV per atom. The value obtained for the energy relative to the lowest polymorph listed for this composition is 4.966 eV/f.u.

---

[3]
Cr2OsPb | PBE | optimized geometry

It has space group P4/mmm (No. 123), with a = 4.159 Å, b = 4.159 Å, c = 3.789 Å, α = 90.00°, β = 90.00° and γ = 90.00°. The inequivalent atoms are Cr at (0.000, 0.500, 0.000), Os at (0.000, 0.000, 0.500) and Pb at (0.500, 0.500, 0.500).

The value obtained for the formation enthalpy at 0 K is 0.759 eV per atom.

---

[4]
K2TiGeSe | PBE | optimized geometry

It has space group P4/mmm (No. 123), with a = 6.134 Å, b = 6.134 Å, c = 5.150 Å, α = 90.00°, β = 90.00° and γ = 90.00°. The inequivalent atoms are K at (0.000, 0.500, 0.000), Ti at (0.000, 0.000, 0.500), Ge at (0.500, 0.500, 0.500) and Se at (0.500, 0.500, 0.000).

The formation energy without anion corrections comes out at 0.566 eV per atom.

---

[5]
Si3OsCl | PBE | optimized geometry

It has space group Pm-3m (No. 221), with a = 4.639 Å, b = 4.639 Å, c = 4.639 Å, α = 90.00°, β = 90.00° and γ = 90.00°. The inequivalent atoms are Si at (0.000, 0.000, 0.500), Os at (0.000, 0.000, 0.000) and Cl at (0.500, 0.500, 0.500).

The value obtained for the energy relative to the lowest polymorph listed for this composition is 0.000 eV/f.u. The formation energy without anion corrections comes out at 0.098 eV per atom.

---

[6]
MnFeB2 | PBE | optimized geometry

It has space group Amm2 (No. 38), with a = 2.946 Å, b = 2.943 Å, c = 7.547 Å, α = 90.00°, β = 90.00° and γ = 90.00°. The inequivalent atoms are Mn at (0.000, 0.000, 0.000), Fe at (0.500, 0.000, 0.286), B at (0.000, 0.000, 0.710) and B at (0.500, 0.000, 0.573).

The value obtained for the formation enthalpy at 0 K is -0.435 eV per atom. The value obtained for the energy relative to the lowest polymorph listed for this composition is 0.000 eV/f.u.

---

[7]
MnGa2Ni9 | PBE | optimized geometry

It has space group P4/mmm (No. 123), with a = 3.584 Å, b = 3.584 Å, c = 10.661 Å, α = 90.00°, β = 90.00° and γ = 90.00°. The inequivalent atoms are Mn at (0.000, 0.000, 0.000), Ga at (0.000, 0.000, 0.333), Ni at (0.000, 0.500, 0.165), Ni at (0.000, 0.500, 0.500), Ni at (0.500, 0.500, 0.000) and Ni at (0.500, 0.500, 0.332).

The value obtained for the formation enthalpy at 0 K is -0.227 eV per atom.

---

[8]
ZnHF2 | PBE | optimized geometry

It has space group R-3m (No. 166, hexagonal axes), with a = 2.7153 Å, b = 2.7153 Å, c = 17.7285 Å, α = 90.00°, β = 90.00° and γ = 120.00°. The inequivalent atoms are Zn at (0.0000, 0.0000, 0.0000), H at (0.0000, 0.0000, 0.5000) and F at (0.0000, 0.0000, 0.1131).

The value obtained for the energy relative to the lowest polymorph listed for this composition is 2.695 eV/f.u.

---

[9]
Y3Zn3In | PBE | optimized geometry

It has space group C2/m (No. 12), with a = 11.141 Å, b = 4.418 Å, c = 14.284 Å, α = 90.00°, β = 109.33° and γ = 90.00°. The inequivalent atoms are Y at (0.025, 0.000, 0.377), Y at (0.110, 0.000, 0.922), Y at (0.240, 0.000, 0.216), Zn at (0.023, 0.500, 0.225), Zn at (0.108, 0.500, 0.071), Zn at (0.119, 0.500, 0.542) and In at (0.243, 0.500, 0.391).

The value obtained for the formation enthalpy at 0 K is -0.349 eV per atom.

---

[10]
Ta2ZnHg | PBE | optimized geometry

It has space group C2/m (No. 12), with a = 9.954 Å, b = 3.014 Å, c = 4.935 Å, α = 90.00°, β = 100.89° and γ = 90.00°. The inequivalent atoms are Ta at (0.248, 0.000, 0.243), Zn at (0.000, 0.500, 0.000) and Hg at (0.000, 0.000, 0.500).

The value obtained for the formation enthalpy at 0 K is 0.281 eV per atom. The value obtained for the energy relative to the lowest polymorph listed for this composition is 0.588 eV/f.u.

---

[11]
AsHAu | PBE | optimized geometry

It has space group P-1 (No. 2), with a = 2.794 Å, b = 6.141 Å, c = 6.418 Å, α = 73.73°, β = 80.95° and γ = 89.59°. The inequivalent atoms are As at (0.108, 0.341, 0.362), H at (0.181, 0.564, 0.165) and Au at (0.296, 0.885, 0.872).

For the total energy, the calculation gives -3.597 eV/atom.

---

[12]
Ba2TlCdO4 | PBE | optimized geometry

It has space group I-4 (No. 82), with a = 6.297 Å, b = 6.297 Å, c = 8.450 Å, α = 90.00°, β = 90.00° and γ = 90.00°. The inequivalent atoms are Ba at (0.000, 0.000, 0.000), Ba at (0.000, 0.500, 0.250), Tl at (0.000, 0.000, 0.500), Cd at (0.000, 0.500, 0.750) and O at (0.212, 0.259, 0.632).

The formation energy without anion corrections comes out at -1.574 eV per atom.